(1)
# Ac3Al2Ag3 PBE optimized geometry
data_Ac3Al2Ag3
_chemical_formula_sum 'Ac12 Al8 Ag12'
_cell_length_a 8.362
_cell_length_b 16.377
_cell_length_c 6.534
_cell_angle_alpha 90.00
_cell_angle_beta 90.00
_cell_angle_gamma 90.00
_space_group_name_H-M_alt 'P n m a'
_space_group_IT_number 62
loop_
_space_group_symop_operation_xyz
'x,y,z'
'-x,-y,-z'
'-x+1/2,-y,z+1/2'
'x+1/2,y,-z+1/2'
'x+1/2,-y+1/2,-z+1/2'
'-x+1/2,y+1/2,z+1/2'
'-x,y+1/2,-z'
'x,-y+1/2,z'
loop_
_atom_site_label
_atom_site_fract_x
_atom_site_fract_y
_atom_site_fract_z
Ac1 0.018 0.107 0.137
Ac2 0.154 0.250 0.629
Al1 0.132 0.597 0.360
Ag1 0.166 0.037 0.594
Ag2 0.199 0.750 0.605
# Total magnetization   0.00 μB per formula unit
# ΔE_f   -0.30 eV/atom

=====

(2)
# TlSn2Pb5 PBE optimized geometry
data_TlSn2Pb5
_chemical_formula_sum 'Tl4 Sn8 Pb20'
_cell_length_a 8.697
_cell_length_b 8.697
_cell_length_c 13.117
_cell_angle_alpha 90.00
_cell_angle_beta 90.00
_cell_angle_gamma 90.00
_space_group_name_H-M_alt 'I 4/m c m'
_space_group_IT_number 140
_space_group_name_Hall '-I 4 2c'
loop_
_atom_site_label
_atom_site_fract_x
_atom_site_fract_y
_atom_site_fract_z
Tl1 0.000 0.000 0.250
Sn1 0.142 0.358 0.000
Pb1 0.000 0.000 0.000
Pb2 0.145 0.355 0.343
# Total magnetization   0.00 μB per formula unit
# ΔE_f   0.06 eV/atom
# Energy relative to the lowest polymorph listed for this composition   4.7 meV/atom

=====

(3)
# TiMnSi PBE optimized geometry
data_TiMnSi
_chemical_formula_sum 'Ti4 Mn4 Si4'
_cell_length_a 3.587
_cell_length_b 3.587
_cell_length_c 12.973
_cell_angle_alpha 90.00
_cell_angle_beta 90.00
_cell_angle_gamma 90.00
_space_group_name_H-M_alt 'I 4/m m m'
_space_group_IT_number 139
_space_group_name_Hall '-I 4 2'
loop_
_atom_site_label
_atom_site_fract_x
_atom_site_fract_y
_atom_site_fract_z
Ti1 0.000 0.000 0.170
Mn1 0.000 0.500 0.000
Si1 0.000 0.000 0.373
# Uncorrected formation energy   -0.59 eV per atom
# Total magnetization   1.64 μB per formula unit

=====

(4)
# BaTlCu4P2 PBE optimized geometry
data_BaTlCu4P2
_chemical_formula_sum 'Ba1 Tl1 Cu4 P2'
_cell_length_a 4.078
_cell_length_b 4.078
_cell_length_c 9.695
_cell_angle_alpha 90.00
_cell_angle_beta 90.00
_cell_angle_gamma 90.00
_space_group_name_H-M_alt 'P 4/m m m'
_space_group_IT_number 123
_space_group_name_Hall '-P 4 2'
loop_
_atom_site_label
_atom_site_fract_x
_atom_site_fract_y
_atom_site_fract_z
Ba1 0.000 0.000 0.000
Tl1 0.000 0.000 0.500
Cu1 0.000 0.500 0.298
P1 0.500 0.500 0.197
# Total magnetization   0.00 μB per formula unit
# ΔE_f   -0.25 eV/atom